[1]
Material: Ba2ReHgN
Method: DFT, GGA-PBE
State: relaxed

Properties
* SG: P4/mmm, No. 123
* V: 135.88 Å³/f.u.
* calculated density: 8.25 Mg/m³
* crystal system: tetragonal
* magnetic moment: 0.0 Bohr magnetons per cell
* formation energy (no corrections): -0.21 eV/atom

Structure (CIF):
```
data_Ba2ReHgN
_chemical_formula_sum 'Ba2 Re1 Hg1 N1'
_symmetry_space_group_name_H-M 'P 1'
_symmetry_Int_Tables_number 1
_symmetry_space_group_name_Hall 'P 1'
_cell_length_a 5.906
_cell_length_b 5.906
_cell_length_c 3.895
_cell_angle_alpha 90.00
_cell_angle_beta 90.00
_cell_angle_gamma 90.00
loop_
_atom_site_label
_atom_site_fract_x
_atom_site_fract_y
_atom_site_fract_z
Hg1 0.500 0.500 0.500
N1 0.000 0.000 0.000
Re1 0.000 0.000 0.500
Ba1 0.000 0.500 0.000
Ba2 0.500 0.000 0.000
```

---

[2]
Material: TmGe3Ir2
Method: DFT, GGA-PBE
State: relaxed

Properties
* SG: C2/m, No. 12
* V: 107.38 Å³/f.u.
* calculated density: 11.93 Mg/m³
* crystal system: monoclinic
* magnetic moment: 0.0 Bohr magnetons per cell
* ΔH_f (0 K): -3.2 eV/f.u.

Structure (CIF):
```
data_TmGe3Ir2
_chemical_formula_sum 'Tm2 Ge6 Ir4'
_symmetry_space_group_name_H-M 'P 1'
_symmetry_Int_Tables_number 1
_symmetry_space_group_name_Hall 'P 1'
_cell_length_a 3.927
_cell_length_b 7.572
_cell_length_c 8.688
_cell_angle_alpha 120.51
_cell_angle_beta 103.06
_cell_angle_gamma 90.00
loop_
_atom_site_label
_atom_site_fract_x
_atom_site_fract_y
_atom_site_fract_z
Ge1 0.045 0.419 0.090
Ge2 0.683 0.462 0.365
Ir1 0.508 0.191 0.016
Tm1 0.874 0.899 0.749
Tm2 0.126 0.101 0.251
Ir2 0.492 0.809 0.984
Ir3 0.786 0.284 0.572
Ir4 0.214 0.716 0.428
Ge3 0.955 0.581 0.910
Ge4 0.317 0.538 0.635
Ge5 0.335 0.137 0.670
Ge6 0.665 0.863 0.330
```

---

[3]
Material: SrLiHf2
Method: DFT, GGA-PBE
State: relaxed

Properties
* SG: I-42d, No. 122
* V: 105.90 Å³/f.u.
* calculated density: 7.08 Mg/m³
* crystal system: tetragonal
* E above lowest polymorph: 0 meV/atom
* magnetic moment: 0.0 Bohr magnetons per cell
* ΔH_f (0 K): 3.0 eV/f.u.

Structure (CIF):
```
data_SrLiHf2
_chemical_formula_sum 'Sr2 Li2 Hf4'
_symmetry_space_group_name_H-M 'P 1'
_symmetry_Int_Tables_number 1
_symmetry_space_group_name_Hall 'P 1'
_cell_length_a 4.188
_cell_length_b 4.188
_cell_length_c 12.434
_cell_angle_alpha 80.30
_cell_angle_beta 80.30
_cell_angle_gamma 90.00
loop_
_atom_site_label
_atom_site_fract_x
_atom_site_fract_y
_atom_site_fract_z
Hf1 0.137 0.125 0.250
Sr1 0.000 0.000 0.000
Hf2 0.375 0.863 0.750
Li1 0.500 0.500 0.000
Hf3 0.875 0.387 0.750
Li2 0.250 0.750 0.500
Sr2 0.750 0.250 0.500
Hf4 0.613 0.625 0.250
```

---

[4]
Material: LaTl2Au
Method: DFT, GGA-PBE
State: relaxed

Properties
* SG: P4mm, No. 99
* V: 112.55 Å³/f.u.
* calculated density: 10.99 Mg/m³
* crystal system: tetragonal
* E above lowest polymorph: 128 meV/atom
* magnetic moment: 0.0 Bohr magnetons per cell
* ΔH_f (0 K): -1.4 eV/f.u.

Structure (CIF):
```
data_LaTl2Au
_chemical_formula_sum 'La1 Tl2 Au1'
_symmetry_space_group_name_H-M 'P 1'
_symmetry_Int_Tables_number 1
_symmetry_space_group_name_Hall 'P 1'
_cell_length_a 3.896
_cell_length_b 3.896
_cell_length_c 7.413
_cell_angle_alpha 90.00
_cell_angle_beta 90.00
_cell_angle_gamma 90.00
loop_
_atom_site_label
_atom_site_fract_x
_atom_site_fract_y
_atom_site_fract_z
Tl1 0.500 0.500 0.263
Tl2 0.000 0.000 0.007
La1 0.500 0.500 0.717
Au1 0.000 0.000 0.512
```

---

[5]
Material: TlSiNi2
Method: DFT, GGA-PBE
State: relaxed

Properties
* SG: I-42d, No. 122
* V: 64.76 Å³/f.u.
* calculated density: 8.97 Mg/m³
* crystal system: tetragonal
* E above lowest polymorph: 283 meV/atom
* magnetic moment: 0.0 Bohr magnetons per cell
* formation energy (no corrections): 0.22 eV/atom

Structure (CIF):
```
data_TlSiNi2
_chemical_formula_sum 'Tl2 Si2 Ni4'
_symmetry_space_group_name_H-M 'P 1'
_symmetry_Int_Tables_number 1
_symmetry_space_group_name_Hall 'P 1'
_cell_length_a 6.798
_cell_length_b 6.798
_cell_length_c 5.564
_cell_angle_alpha 52.35
_cell_angle_beta 52.35
_cell_angle_gamma 90.00
loop_
_atom_site_label
_atom_site_fract_x
_atom_site_fract_y
_atom_site_fract_z
Ni1 0.875 0.810 0.750
Si1 0.250 0.750 0.500
Ni2 0.560 0.125 0.250
Tl1 0.750 0.250 0.500
Ni3 0.190 0.625 0.250
Ni4 0.375 0.440 0.750
Si2 0.500 0.500 0.000
Tl2 0.000 0.000 0.000
```

---

[6]
Material: Tb2Pr3Dy6Ho
Method: DFT, GGA-PBE
State: relaxed

Properties
* SG: C2/m, No. 12
* V: 390.94 Å³/f.u.
* calculated density: 7.99 Mg/m³
* crystal system: monoclinic
* magnetic moment: 0.0 Bohr magnetons per cell
* ΔH_f (0 K): 0.2 eV/f.u.

Structure (CIF):
```
data_Tb2Pr3Dy6Ho
_chemical_formula_sum 'Tb2 Pr3 Dy6 Ho1'
_symmetry_space_group_name_H-M 'P 1'
_symmetry_Int_Tables_number 1
_symmetry_space_group_name_Hall 'P 1'
_cell_length_a 6.218
_cell_length_b 6.218
_cell_length_c 11.855
_cell_angle_alpha 95.01
_cell_angle_beta 95.01
_cell_angle_gamma 119.98
loop_
_atom_site_label
_atom_site_fract_x
_atom_site_fract_y
_atom_site_fract_z
Dy1 0.585 0.918 0.754
Dy2 0.082 0.415 0.246
Tb1 0.333 0.667 0.000
Tb2 0.667 0.333 0.000
Ho1 0.000 0.000 0.000
Dy3 0.251 0.251 0.754
Pr1 0.500 0.500 0.500
Dy4 0.749 0.749 0.246
Dy5 0.918 0.585 0.754
Dy6 0.415 0.082 0.246
Pr2 0.833 0.167 0.500
Pr3 0.167 0.833 0.500
```

---

[7]
Material: Ta2ReC
Method: DFT, GGA-PBE
State: relaxed

Properties
* SG: I-42d, No. 122
* V: 61.58 Å³/f.u.
* calculated density: 15.10 Mg/m³
* crystal system: tetragonal
* magnetic moment: 0.0 Bohr magnetons per cell
* ΔH_f (0 K): 0.7 eV/f.u.

Structure (CIF):
```
data_Ta2ReC
_chemical_formula_sum 'Ta4 Re2 C2'
_symmetry_space_group_name_H-M 'P 1'
_symmetry_Int_Tables_number 1
_symmetry_space_group_name_Hall 'P 1'
_cell_length_a 7.518
_cell_length_b 7.518
_cell_length_c 5.745
_cell_angle_alpha 49.14
_cell_angle_beta 49.14
_cell_angle_gamma 90.00
loop_
_atom_site_label
_atom_site_fract_x
_atom_site_fract_y
_atom_site_fract_z
Re1 0.000 0.000 0.000
Ta1 0.500 0.125 0.250
Ta2 0.375 0.500 0.750
Ta3 0.250 0.625 0.250
C1 0.500 0.500 0.000
Re2 0.750 0.250 0.500
C2 0.250 0.750 0.500
Ta4 0.875 0.750 0.750
```

---

[8]
Material: PmSc3Ag2
Method: DFT, GGA-PBE
State: relaxed

Properties
* SG: P4/mmm, No. 123
* V: 139.24 Å³/f.u.
* calculated density: 5.91 Mg/m³
* crystal system: tetragonal
* E above lowest polymorph: 0 meV/atom
* magnetic moment: 0.0 Bohr magnetons per cell
* ΔH_f (0 K): -0.9 eV/f.u.

Structure (CIF):
```
data_PmSc3Ag2
_chemical_formula_sum 'Pm1 Sc3 Ag2'
_symmetry_space_group_name_H-M 'P 1'
_symmetry_Int_Tables_number 1
_symmetry_space_group_name_Hall 'P 1'
_cell_length_a 3.437
_cell_length_b 3.437
_cell_length_c 11.789
_cell_angle_alpha 90.00
_cell_angle_beta 90.00
_cell_angle_gamma 90.00
loop_
_atom_site_label
_atom_site_fract_x
_atom_site_fract_y
_atom_site_fract_z
Sc1 0.000 0.000 0.291
Sc2 0.000 0.000 0.000
Ag1 0.500 0.500 0.853
Sc3 0.000 0.000 0.709
Ag2 0.500 0.500 0.147
Pm1 0.500 0.500 0.500
```

---

[9]
Material: SrAlNi2
Method: DFT, GGA-PBE
State: relaxed

Properties
* SG: P4/mmm, No. 123
* V: 67.79 Å³/f.u.
* calculated density: 5.68 Mg/m³
* crystal system: tetragonal
* magnetic moment: 0.0 Bohr magnetons per cell
* ΔH_f (0 K): 0.5 eV/f.u.

Structure (CIF):
```
data_SrAlNi2
_chemical_formula_sum 'Sr1 Al1 Ni2'
_symmetry_space_group_name_H-M 'P 1'
_symmetry_Int_Tables_number 1
_symmetry_space_group_name_Hall 'P 1'
_cell_length_a 4.694
_cell_length_b 4.694
_cell_length_c 3.077
_cell_angle_alpha 90.07
_cell_angle_beta 90.07
_cell_angle_gamma 89.95
loop_
_atom_site_label
_atom_site_fract_x
_atom_site_fract_y
_atom_site_fract_z
Al1 0.000 0.500 0.500
Ni1 0.000 0.000 0.000
Ni2 0.500 0.500 0.000
Sr1 0.500 0.000 0.500
```

---

[10]
Material: NaCa2MgIr
Method: DFT, GGA-PBE
State: relaxed

Properties
* SG: P4/mmm, No. 123
* V: 142.24 Å³/f.u.
* calculated density: 3.73 Mg/m³
* crystal system: tetragonal
* E above lowest polymorph: 1177 meV/atom
* magnetic moment: 0.0 Bohr magnetons per cell
* ΔH_f (0 K): 5.1 eV/f.u.

Structure (CIF):
```
data_NaCa2MgIr
_chemical_formula_sum 'Na1 Ca2 Mg1 Ir1'
_symmetry_space_group_name_H-M 'P 1'
_symmetry_Int_Tables_number 1
_symmetry_space_group_name_Hall 'P 1'
_cell_length_a 5.418
_cell_length_b 4.845
_cell_length_c 5.418
_cell_angle_alpha 90.00
_cell_angle_beta 90.00
_cell_angle_gamma 90.00
loop_
_atom_site_label
_atom_site_fract_x
_atom_site_fract_y
_atom_site_fract_z
Na1 0.000 0.000 0.000
Ir1 0.500 0.500 0.500
Ca1 0.500 0.000 0.000
Ca2 0.000 0.000 0.500
Mg1 0.000 0.500 0.000
```

---

[11]
Material: Tb2MgSn
Method: DFT, GGA-PBE
State: relaxed

Properties
* SG: P4/mmm, No. 123
* V: 105.80 Å³/f.u.
* calculated density: 7.23 Mg/m³
* crystal system: tetragonal
* magnetic moment: 0.0 Bohr magnetons per cell
* ΔH_f (0 K): -1.8 eV/f.u.

Structure (CIF):
```
data_Tb2MgSn
_chemical_formula_sum 'Tb2 Mg1 Sn1'
_symmetry_space_group_name_H-M 'P 1'
_symmetry_Int_Tables_number 1
_symmetry_space_group_name_Hall 'P 1'
_cell_length_a 4.423
_cell_length_b 4.891
_cell_length_c 4.891
_cell_angle_alpha 90.00
_cell_angle_beta 90.00
_cell_angle_gamma 90.00
loop_
_atom_site_label
_atom_site_fract_x
_atom_site_fract_y
_atom_site_fract_z
Tb1 0.000 0.000 0.500
Sn1 0.500 0.000 0.000
Tb2 0.000 0.500 0.000
Mg1 0.500 0.500 0.500
```